BeAl8: PBEsol geometry, meta-GGA SCAN.

Cell lengths 6.2554, 6.2554, 6.2554 Å; angles 95.64, 95.64, 143.47 degrees
Element x y z (fractional)
Be1 0.0000 0.0000 0.0000
Al1 0.0000 0.3281 0.3281
Al2 0.0000 0.6719 0.6719
Al3 0.3281 0.0000 0.3281
Al4 0.3382 0.3382 0.6765
Al5 0.3382 0.6618 0.0000
Al6 0.6618 0.3382 0.0000
Al7 0.6618 0.6618 0.3235
Al8 0.6719 0.0000 0.6719

Properties
DFT formation energy (meV per atom): 69
Crystal system: tetragonal
DFT total energy (eV per formula unit): -65.7
DOS(E_F) (states/eV/atom): 0.3433